First-principles (PBE) data for an optimized crystal structure of B5C7, as listed in Alexandria.

Distance to the lowest polymorph of the same formula (eV per formula unit): 1.37
Total magnetic moment (μB/cell): 0.0
Energy (eV/atom): -7.79
Formation energy (kJ/mol of atoms): 36

Lattice parameters (Å, degrees): 6.472 6.472 5.037 102.03 102.03 22.61
Atoms (fractional coordinates):
B  0.017  0.017  0.975
B  0.896  0.896  0.206
B  0.994  0.994  0.508
B  0.599  0.599  0.545
B  0.328  0.328  0.671
C  0.320  0.320  0.158
C  0.245  0.245  0.365
C  0.913  0.913  0.729
C  0.674  0.674  0.326
C  0.243  0.243  0.880
C  0.674  0.674  0.843
C  0.596  0.596  0.044

***

First-principles (PBE) data for an optimized crystal structure of TeSeN3, as listed in Alexandria.

Total magnetic moment (μB/cell): 0.0
Energy (eV/atom): -4.46
Formation energy without anion corrections (kJ/mol of formula units): 898

Lattice parameters (Å, degrees): 3.865 3.865 3.865 90.00 90.00 90.00
Atoms (fractional coordinates):
Te  0.500  0.500  0.500
Se  0.000  0.000  0.000
N  0.000  0.500  0.000
N  0.000  0.000  0.500
N  0.500  0.000  0.000

***

First-principles (PBE) data for an optimized crystal structure of VFeP, as listed in Alexandria.

Total magnetic moment (μB/cell): 0.0
Energy (eV/atom): -8.22
Formation energy (kJ/mol of atoms): -53

Lattice parameters (Å, degrees): 2.699 3.838 3.838 120.00 90.00 90.00
Atoms (fractional coordinates):
P  0.167  0.000  0.000
Fe  0.167  0.333  0.667
V  0.667  0.667  0.333

***

First-principles (PBE) data for an optimized crystal structure of Rb3TcS4, as listed in Alexandria.

Total magnetic moment (μB/cell): 4.0
Energy (eV/atom): -4.56
Formation energy without anion corrections (kJ/mol of formula units): -647

Lattice parameters (Å, degrees): 6.499 6.615 12.829 90.00 90.00 90.00
Atoms (fractional coordinates):
S  0.038  0.819  0.000
S  0.634  0.172  0.000
S  0.086  0.281  0.151
S  0.586  0.719  0.349
S  0.134  0.828  0.500
S  0.538  0.181  0.500
S  0.586  0.719  0.651
S  0.086  0.281  0.849
Tc  0.975  0.150  0.000
Tc  0.475  0.850  0.500
Rb  0.538  0.673  0.000
Rb  0.079  0.772  0.250
Rb  0.579  0.228  0.250
Rb  0.038  0.327  0.500
Rb  0.579  0.228  0.750
Rb  0.079  0.772  0.750

***

- The lowest energy belongs to which entry?
  VFeP